VASP calculation (PBE) on an optimized crystal structure of NaHgSb.

Output
As for the density: 7.29 g/cm³. Its space group is I4mm, No. 107. For the formation energy from raw total energies, the calculation gives -0.171 eV per atom.

Cell: 3.327 3.327 14.202 Å, 90.00 90.00 90.00°
Fractional positions:
Na  0.000  0.000  0.000
Na  0.500  0.500  0.500
Hg  0.000  0.000  0.345
Hg  0.500  0.500  0.845
Sb  0.000  0.000  0.669
Sb  0.500  0.500  0.169